1.
First-principles (GGA-PBE) data for a relaxed Nd2GdDy crystal, as listed in Alexandria.

a = 3.6345 Å, b = 3.6345 Å, c = 10.1846 Å
α = 90.00°, β = 90.00°, γ = 90.00°
Closest atoms and distances in Å follow each position.
Fractional coordinates of all 4 atoms:
Nd 0.0000 0.0000 0.7522  4 Dy 3.60, 4 Gd 3.63, 4 Nd 3.63
Nd 0.0000 0.0000 0.2478  4 Dy 3.60, 4 Gd 3.63, 4 Nd 3.63
Gd 0.5000 0.5000 0.5000  8 Nd 3.63, 4 Gd 3.63
Dy 0.5000 0.5000 0.0000  8 Nd 3.60, 4 Dy 3.63

Properties
Its space group is No. 123. For the energy above the most stable polymorph in this dataset, the calculation gives 0.08 kcal/mol of atoms.

2.
First-principles (GGA-PBE) data for a relaxed NdGdDy2 crystal, as listed in Alexandria.

a = 5.7127 Å, b = 5.7127 Å, c = 5.7127 Å
α = 60.00°, β = 60.00°, γ = 60.00°
Closest atoms and distances in Å follow each position.
Fractional coordinates of all 4 atoms:
Dy 0.2500 0.2500 0.2500  4 Gd 3.50, 4 Nd 3.50
Dy 0.7500 0.7500 0.7500  4 Gd 3.50, 4 Nd 3.50
Nd 0.5000 0.5000 0.5000  8 Dy 3.50
Gd 0.0000 0.0000 0.0000  8 Dy 3.50

Properties
Its space group is No. 225. For the energy above the most stable polymorph in this dataset, the calculation gives 2.32 kcal/mol of atoms.